*a*
This record from the Alexandria database describes a relaxed ThAl4Ni2 crystal. The functional is PBE.

Cell: 4.082 6.904 16.742 Å, 90.00 90.00 90.00°
Fractional coordinates of all 28 atoms:
Ni 0.250 0.670 0.538
Ni 0.750 0.330 0.462
Ni 0.750 0.170 0.962
Ni 0.250 0.830 0.038
Ni 0.250 0.960 0.762
Ni 0.750 0.040 0.238
Ni 0.750 0.460 0.738
Ni 0.250 0.540 0.262
Al 0.250 0.276 0.704
Al 0.750 0.724 0.296
Al 0.750 0.776 0.796
Al 0.250 0.224 0.204
Al 0.250 0.658 0.690
Al 0.750 0.342 0.310
Al 0.750 0.158 0.810
Al 0.250 0.842 0.190
Al 0.250 0.282 0.538
Al 0.750 0.718 0.462
Al 0.750 0.782 0.962
Al 0.250 0.218 0.038
Al 0.250 0.503 0.403
Al 0.750 0.497 0.597
Al 0.750 0.003 0.097
Al 0.250 0.997 0.903
Th 0.750 0.985 0.617
Th 0.250 0.015 0.383
Th 0.250 0.485 0.883
Th 0.750 0.515 0.117

## Properties
The calculation puts the total magnetic moment at 0.000 μB per atom.

*b*
This record from the Alexandria database describes a relaxed ThAl4Ni2 crystal. The functional is PBE.

Cell: 3.965 7.657 7.657 Å, 90.00 90.00 90.00°
Fractional coordinates of all 14 atoms:
Th 0.500 0.000 0.000
Th 0.000 0.500 0.500
Al 0.000 0.086 0.335
Al 0.000 0.914 0.665
Al 0.500 0.165 0.586
Al 0.500 0.835 0.414
Al 0.500 0.414 0.835
Al 0.500 0.586 0.165
Al 0.000 0.335 0.086
Al 0.000 0.665 0.914
Ni 0.000 0.211 0.789
Ni 0.000 0.789 0.211
Ni 0.500 0.711 0.711
Ni 0.500 0.289 0.289

## Properties
The calculation puts the total magnetic moment at 0.000 μB per atom.

Among the structures above, stability is smallest for *b*.